Here is crystalline ScRhI2O at its relaxed geometry from Alexandria via LeMat-Bulk. Energies are from PBE.

Structure (extended XYZ):
```
5
Lattice="5.640 0.000 0.000 0.000 5.640 0.000 0.000 0.000 3.771" Properties=species:S:1:pos:R:3 pbc="T T T"
O 0.000 0.000 1.886
Rh 0.000 0.000 0.000
Sc 2.820 2.820 1.886
I 2.820 0.000 0.000
I 0.000 2.820 0.000
```

Values from the calculation:
Space-group type   No. 123
Energy relative to the elements, uncorrected   -6.39 kcal/mol of atoms
E above lowest polymorph   355 meV per atom
DFT total energy   -23.1 eV/cell